# Zr8Au PBE relaxed
# - Magnetization: 0.00 μB per formula unit
# - Calculated density: 7.64 g cm⁻³
# - Calculated volume: 201.3 Å³ per cell
# - E_form: -0.084 eV per atom
data_Zr8Au
_cell_length_a 7.169
_cell_length_b 7.169
_cell_length_c 7.169
_cell_angle_alpha 95.17
_cell_angle_beta 95.17
_cell_angle_gamma 145.06
_space_group_name_H-M_alt 'P 1'
_space_group_IT_number 1
_space_group_name_Hall 'P 1'
loop_
_atom_site_label
_atom_site_fract_x
_atom_site_fract_y
_atom_site_fract_z
_atom_site_occupancy
Zr1 0.000 0.332 0.332 1
Zr2 0.000 0.668 0.668 1
Zr3 0.332 0.000 0.332 1
Zr4 0.334 0.334 0.667 1
Zr5 0.334 0.666 0.000 1
Zr6 0.666 0.334 0.000 1
Zr7 0.666 0.666 0.333 1
Zr8 0.668 0.000 0.668 1
Au1 0.000 0.000 0.000 1

# Zr5Au4 PBE relaxed
# - Magnetization: 0.00 μB per formula unit
# - Calculated density: 11.07 g cm⁻³
# - Calculated volume: 373.2 Å³ per cell
# - ΔE to the lowest computed polymorph: 0 meV per atom
# - E_form: -0.423 eV per atom
data_Zr5Au4
_cell_length_a 8.794
_cell_length_b 8.794
_cell_length_c 5.572
_cell_angle_alpha 90.00
_cell_angle_beta 90.00
_cell_angle_gamma 120.00
_space_group_name_H-M_alt 'P 1'
_space_group_IT_number 1
_space_group_name_Hall 'P 1'
loop_
_atom_site_label
_atom_site_fract_x
_atom_site_fract_y
_atom_site_fract_z
_atom_site_occupancy
Zr1 0.000 0.283 0.250 1
Zr2 0.000 0.717 0.750 1
Zr3 0.283 0.000 0.250 1
Zr4 0.283 0.283 0.750 1
Zr5 0.333 0.667 0.000 1
Zr6 0.333 0.667 0.500 1
Zr7 0.667 0.333 0.000 1
Zr8 0.667 0.333 0.500 1
Zr9 0.717 0.000 0.750 1
Zr10 0.717 0.717 0.250 1
Au1 0.000 0.000 0.000 1
Au2 0.000 0.000 0.500 1
Au3 0.000 0.392 0.750 1
Au4 0.000 0.608 0.250 1
Au5 0.392 0.000 0.750 1
Au6 0.392 0.392 0.250 1
Au7 0.608 0.000 0.250 1
Au8 0.608 0.608 0.750 1

# ZrAu PBE relaxed
# - Magnetization: 0.00 μB per formula unit
# - Calculated density: 12.03 g cm⁻³
# - Calculated volume: 39.8 Å³ per cell
# - E_form: -0.485 eV per atom
data_ZrAu
_cell_length_a 3.113
_cell_length_b 3.113
_cell_length_c 4.105
_cell_angle_alpha 90.00
_cell_angle_beta 90.00
_cell_angle_gamma 90.00
_space_group_name_H-M_alt 'P 1'
_space_group_IT_number 1
_space_group_name_Hall 'P 1'
loop_
_atom_site_label
_atom_site_fract_x
_atom_site_fract_y
_atom_site_fract_z
_atom_site_occupancy
Zr1 0.000 0.000 0.000 1
Au1 0.500 0.500 0.500 1

# Zr7Au PBE relaxed
# - Magnetization: 0.00 μB per formula unit
# - Calculated density: 7.79 g cm⁻³
# - Calculated volume: 178.2 Å³ per cell
# - E_form: -0.055 eV per atom
data_Zr7Au
_cell_length_a 6.316
_cell_length_b 6.316
_cell_length_c 6.316
_cell_angle_alpha 60.00
_cell_angle_beta 60.00
_cell_angle_gamma 60.00
_space_group_name_H-M_alt 'P 1'
_space_group_IT_number 1
_space_group_name_Hall 'P 1'
loop_
_atom_site_label
_atom_site_fract_x
_atom_site_fract_y
_atom_site_fract_z
_atom_site_occupancy
Zr1 0.000 0.000 0.000 1
Zr2 0.000 0.000 0.500 1
Zr3 0.000 0.500 0.000 1
Zr4 0.000 0.500 0.500 1
Zr5 0.500 0.000 0.000 1
Zr6 0.500 0.000 0.500 1
Zr7 0.500 0.500 0.000 1
Au1 0.500 0.500 0.500 1

# ZrAu2 PBE relaxed
# - Magnetization: 0.00 μB per formula unit
# - Calculated density: 11.13 g cm⁻³
# - Calculated volume: 72.4 Å³ per cell
# - E_form: -0.083 eV per atom
data_ZrAu2
_cell_length_a 4.788
_cell_length_b 4.788
_cell_length_c 3.158
_cell_angle_alpha 90.00
_cell_angle_beta 90.00
_cell_angle_gamma 90.00
_space_group_name_H-M_alt 'P 1'
_space_group_IT_number 1
_space_group_name_Hall 'P 1'
loop_
_atom_site_label
_atom_site_fract_x
_atom_site_fract_y
_atom_site_fract_z
_atom_site_occupancy
Zr1 0.000 0.000 0.000 1
Au1 0.000 0.500 0.500 1
Au2 0.500 0.000 0.500 1

# ZrAu PBE relaxed
# - Magnetization: 0.00 μB per formula unit
# - Calculated density: 11.82 g cm⁻³
# - Calculated volume: 81.0 Å³ per cell
# - E_form: -0.419 eV per atom
data_ZrAu
_cell_length_a 5.247
_cell_length_b 5.247
_cell_length_c 5.175
_cell_angle_alpha 102.98
_cell_angle_beta 102.98
_cell_angle_gamma 35.80
_space_group_name_H-M_alt 'P 1'
_space_group_IT_number 1
_space_group_name_Hall 'P 1'
loop_
_atom_site_label
_atom_site_fract_x
_atom_site_fract_y
_atom_site_fract_z
_atom_site_occupancy
Zr1 0.119 0.119 0.338 1
Zr2 0.881 0.881 0.662 1
Au1 0.370 0.370 0.151 1
Au2 0.630 0.630 0.849 1

# ZrAu2 PBE relaxed
# - Magnetization: 0.00 μB per formula unit
# - Calculated density: 13.17 g cm⁻³
# - Calculated volume: 122.4 Å³ per cell
# - E_form: -0.347 eV per atom
data_ZrAu2
_cell_length_a 12.878
_cell_length_b 12.878
_cell_length_c 12.878
_cell_angle_alpha 166.15
_cell_angle_beta 166.15
_cell_angle_gamma 19.63
_space_group_name_H-M_alt 'P 1'
_space_group_IT_number 1
_space_group_name_Hall 'P 1'
loop_
_atom_site_label
_atom_site_fract_x
_atom_site_fract_y
_atom_site_fract_z
_atom_site_occupancy
Zr1 0.375 0.625 0.750 1
Zr2 0.625 0.375 0.250 1
Au1 0.048 0.798 0.250 1
Au2 0.202 0.952 0.250 1
Au3 0.798 0.048 0.750 1
Au4 0.952 0.202 0.750 1

# ZrAu PBE relaxed
# - Magnetization: 0.00 μB per formula unit
# - Calculated density: 10.58 g cm⁻³
# - Calculated volume: 90.5 Å³ per cell
# - E_form: -0.205 eV per atom
data_ZrAu
_cell_length_a 5.648
_cell_length_b 5.648
_cell_length_c 5.648
_cell_angle_alpha 47.78
_cell_angle_beta 47.78
_cell_angle_gamma 47.78
_space_group_name_H-M_alt 'P 1'
_space_group_IT_number 1
_space_group_name_Hall 'P 1'
loop_
_atom_site_label
_atom_site_fract_x
_atom_site_fract_y
_atom_site_fract_z
_atom_site_occupancy
Zr1 0.097 0.097 0.097 1
Zr2 0.903 0.903 0.903 1
Au1 0.294 0.294 0.294 1
Au2 0.706 0.706 0.706 1

> Look up the calculated density of the fourth one.

7.79 g cm⁻³

> The highest calculated density belongs to which entry?

number 7